# Sc3HgN (PBE, relaxed)
# - SG: Pm-3m (221)
# - Spin magnetization: 0.0 μB per formula unit
# - Electronic total energy: -33.1 eV for the cell shown
data_Sc3HgN
_chemical_formula_sum 'Sc3 Hg1 N1'
_space_group_name_H-M_alt 'P 1'
_space_group_IT_number 1
_cell_length_a 4.452
_cell_length_b 4.452
_cell_length_c 4.452
_cell_angle_alpha 90.00
_cell_angle_beta 90.00
_cell_angle_gamma 90.00
loop_
_space_group_symop_operation_xyz
'x,y,z'
loop_
_atom_site_label
_atom_site_type_symbol
_atom_site_fract_x
_atom_site_fract_y
_atom_site_fract_z
Sc1 Sc 0.000 0.000 0.500
Sc2 Sc 0.000 0.500 0.000
Sc3 Sc 0.500 0.000 0.000
Hg1 Hg 0.500 0.500 0.500
N1 N 0.000 0.000 0.000

***

# ScHgN2 (PBE, relaxed)
# - SG: I-42d (122)
# - Spin magnetization: 1.0 μB per formula unit
# - Electronic total energy: -46.3 eV for the cell shown
data_ScHgN2
_chemical_formula_sum 'Sc2 Hg2 N4'
_space_group_name_H-M_alt 'P 1'
_space_group_IT_number 1
_cell_length_a 6.274
_cell_length_b 6.274
_cell_length_c 6.274
_cell_angle_alpha 133.14
_cell_angle_beta 133.14
_cell_angle_gamma 68.44
loop_
_space_group_symop_operation_xyz
'x,y,z'
loop_
_atom_site_label
_atom_site_type_symbol
_atom_site_fract_x
_atom_site_fract_y
_atom_site_fract_z
Sc1 Sc 0.000 0.000 0.000
Sc2 Sc 0.750 0.250 0.500
Hg1 Hg 0.250 0.750 0.500
Hg2 Hg 0.500 0.500 0.000
N1 N 0.092 0.625 0.967
N2 N 0.375 0.342 0.467
N3 N 0.658 0.125 0.033
N4 N 0.875 0.908 0.533

***

# Sc3HgN (PBE, relaxed)
# - SG: R-3c (167)
# - Spin magnetization: 0.0 μB per formula unit
# - Electronic total energy: -59.7 eV for the cell shown
data_Sc3HgN
_chemical_formula_sum 'Sc6 Hg2 N2'
_space_group_name_H-M_alt 'P 1'
_space_group_IT_number 1
_cell_length_a 7.902
_cell_length_b 7.902
_cell_length_c 7.902
_cell_angle_alpha 47.89
_cell_angle_beta 47.89
_cell_angle_gamma 47.89
loop_
_space_group_symop_operation_xyz
'x,y,z'
loop_
_atom_site_label
_atom_site_type_symbol
_atom_site_fract_x
_atom_site_fract_y
_atom_site_fract_z
Sc1 Sc 0.056 0.750 0.444
Sc2 Sc 0.250 0.556 0.944
Sc3 Sc 0.444 0.056 0.750
Sc4 Sc 0.556 0.944 0.250
Sc5 Sc 0.750 0.444 0.056
Sc6 Sc 0.944 0.250 0.556
Hg1 Hg 0.000 0.000 0.000
Hg2 Hg 0.500 0.500 0.500
N1 N 0.250 0.250 0.250
N2 N 0.750 0.750 0.750

***

| no. | calculated volume (Å³ per cell) | formation energy without anion corrections (eV/atom) |
| --- | --- | --- |
| 1 | 88.3 | -1.0875 |
| 2 | 129.1 | 0.0353 |
| 3 | 248.7 | -0.4460 |